Record 1
Density functional theory data (PBE-GGA) for crystalline Pm4MgAg2 at its relaxed geometry.

```
7
Lattice="2.6413 1.5250 8.3497 -2.6413 1.5250 8.3497 0.0000 -3.0499 8.3497" Properties=species:S:1:pos:R:3 pbc="T T T"
Pm 0.0000 0.0000 2.8462
Pm 0.0000 0.0000 9.1875
Pm 0.0000 0.0000 15.8618
Pm 0.0000 0.0000 22.2030
Mg 0.0000 0.0000 12.5246
Ag 0.0000 0.0000 6.0212
Ag 0.0000 0.0000 19.0280
```

Properties
Energy relative to the elements ... -0.064 eV per atom
Energy above the most stable polymorph in this dataset ... 0.0 meV per atom
Space-group type ... No. 166

Record 2
Density functional theory data (PBE-GGA) for crystalline PmMg4Ag4 at its relaxed geometry.

```
18
Lattice="6.5029 0.0000 0.0000 0.0000 6.5029 0.0000 0.0000 0.0000 9.4543" Properties=species:S:1:pos:R:3 pbc="T T T"
Pm 1.6257 4.8772 2.3636
Pm 4.8772 1.6257 7.0907
Mg 0.1426 1.6257 1.4835
Mg 1.6257 0.1426 6.2106
Mg 1.6257 3.1088 6.2106
Mg 3.1088 1.6257 1.4835
Mg 3.3940 4.8772 7.9708
Mg 4.8772 3.3940 3.2437
Mg 4.8772 6.3603 3.2437
Mg 6.3603 4.8772 7.9708
Ag 0.2019 1.6257 4.3198
Ag 1.6257 0.2019 9.0469
Ag 1.6257 3.0496 9.0469
Ag 3.0496 1.6257 4.3198
Ag 3.4533 4.8772 5.1345
Ag 4.8772 3.4533 0.4074
Ag 4.8772 6.3010 0.4074
Ag 6.3010 4.8772 5.1345
```

Properties
Energy relative to the elements ... -0.097 eV per atom
Space-group type ... No. 137

Record 3
Density functional theory data (PBE-GGA) for crystalline PmMg9Ag2 at its relaxed geometry.

```
24
Lattice="-5.9769 5.9769 3.7948 5.9769 -5.9769 3.7948 5.9769 5.9769 -3.7948" Properties=species:S:1:pos:R:3 pbc="T T T"
Pm 5.9769 2.9884 0.9487
Pm 0.0000 2.9884 2.8461
Mg 5.9769 -2.9884 2.8461
Mg 4.5221 -0.6075 1.3761
Mg 7.4316 -0.6075 1.3761
Mg 2.3809 1.5337 0.5212
Mg 9.5728 1.5337 0.5212
Mg 4.5221 5.3694 -1.3761
Mg 1.4548 -0.6075 2.4186
Mg 2.3809 4.4432 0.5212
Mg 3.5959 -1.5337 4.3160
Mg 2.3809 7.5105 -0.5212
Mg 3.5959 1.5337 3.2735
Mg 4.5221 6.5844 1.3761
Mg 1.4548 0.6075 5.1709
Mg -3.5959 4.4432 3.2735
Mg 3.5959 4.4432 3.2735
Mg -1.4548 6.5844 2.4186
Mg 1.4548 6.5844 2.4186
Mg 0.0000 8.9653 0.9487
Ag 0.0000 0.0000 0.0000
Ag 2.9884 2.9884 -1.8974
Ag 2.9884 -2.9884 1.8974
Ag 0.0000 5.9769 0.0000
```

Properties
Energy relative to the elements ... -0.124 eV per atom
Space-group type ... No. 141

Record 4
Density functional theory data (PBE-GGA) for crystalline PmMgAg at its relaxed geometry.

```
3
Lattice="0.0000 3.4777 3.4777 3.4777 0.0000 3.4777 3.4777 3.4777 0.0000" Properties=species:S:1:pos:R:3 pbc="T T T"
Pm 0.0000 0.0000 0.0000
Mg 3.4777 3.4777 3.4777
Ag 1.7388 1.7388 1.7388
```

Properties
Energy relative to the elements ... -0.072 eV per atom
Energy above the most stable polymorph in this dataset ... 190.4 meV per atom
Space-group type ... No. 216

Record 5
Density functional theory data (PBE-GGA) for crystalline Pm2Mg9Ag6 at its relaxed geometry.

```
17
Lattice="5.8939 0.0000 0.0000 -2.9470 5.1043 0.0000 0.0000 0.0000 13.6714" Properties=species:S:1:pos:R:3 pbc="T T T"
Pm 0.0000 0.0000 2.0608
Pm 0.0000 0.0000 11.6106
Mg -1.4735 2.5521 0.0000
Mg -1.4735 2.5521 4.5810
Mg -1.4735 2.5521 9.0903
Mg 2.9470 0.0000 0.0000
Mg 2.9470 0.0000 4.5810
Mg 2.9470 0.0000 9.0903
Mg 1.4735 2.5521 0.0000
Mg 1.4735 2.5521 4.5810
Mg 1.4735 2.5521 9.0903
Ag 0.0000 3.4029 2.3153
Ag 0.0000 3.4029 6.8357
Ag 0.0000 3.4029 11.3560
Ag 2.9470 1.7014 2.3153
Ag 2.9470 1.7014 6.8357
Ag 2.9470 1.7014 11.3560
```

Properties
Energy relative to the elements ... -0.080 eV per atom
Space-group type ... No. 191

Record 6
Density functional theory data (PBE-GGA) for crystalline PmMg3Ag3 at its relaxed geometry.

```
14
Lattice="7.2324 0.0000 0.0000 0.0000 7.2324 0.0000 0.0000 0.0000 7.2324" Properties=species:S:1:pos:R:3 pbc="T T T"
Pm 0.0000 0.0000 0.0000
Pm 3.6162 3.6162 3.6162
Mg 0.0000 1.8081 3.6162
Mg 0.0000 5.4243 3.6162
Mg 1.8081 3.6162 0.0000
Mg 3.6162 0.0000 1.8081
Mg 3.6162 0.0000 5.4243
Mg 5.4243 3.6162 0.0000
Ag 0.0000 3.6162 1.8081
Ag 0.0000 3.6162 5.4243
Ag 1.8081 0.0000 3.6162
Ag 3.6162 1.8081 0.0000
Ag 3.6162 5.4243 0.0000
Ag 5.4243 0.0000 3.6162
```

Properties
Energy relative to the elements ... 0.275 eV per atom
Energy above the most stable polymorph in this dataset ... 472.0 meV per atom
Space-group type ... No. 223

Record 7
Density functional theory data (PBE-GGA) for crystalline Pm5Mg4Ag at its relaxed geometry.

```
10
Lattice="3.8423 0.0000 0.0000 0.0000 3.8423 0.0000 0.0000 0.0000 19.0820" Properties=species:S:1:pos:R:3 pbc="T T T"
Pm 0.0000 0.0000 0.0000
Pm 0.0000 0.0000 3.8925
Pm 0.0000 0.0000 7.7319
Pm 0.0000 0.0000 11.3502
Pm 0.0000 0.0000 15.1895
Mg 1.9212 1.9212 1.9517
Mg 1.9212 1.9212 5.7736
Mg 1.9212 1.9212 13.3085
Mg 1.9212 1.9212 17.1303
Ag 1.9212 1.9212 9.5410
```

Properties
Energy relative to the elements ... -0.138 eV per atom
Space-group type ... No. 123

Record 8
Density functional theory data (PBE-GGA) for crystalline Pm6Mg5Ag at its relaxed geometry.

```
12
Lattice="2.7141 -8.1464 0.0000 2.7141 8.1464 0.0000 0.0000 0.0000 7.6797" Properties=species:S:1:pos:R:3 pbc="T T T"
Pm 0.0000 0.0000 1.8901
Pm 0.0000 0.0000 5.7896
Pm 2.7141 2.6715 1.9247
Pm 2.7141 2.6715 5.7550
Pm 2.7141 -2.6715 1.9247
Pm 2.7141 -2.6715 5.7550
Mg 2.7141 5.4070 3.8398
Mg 2.7141 5.3294 0.0000
Mg 2.7141 0.0000 3.8398
Mg 2.7141 -5.3294 0.0000
Mg 2.7141 -5.4070 3.8398
Ag 2.7141 0.0000 0.0000
```

Properties
Energy relative to the elements ... -0.124 eV per atom
Space-group type ... No. 65

N(E_F) list, top to bottom, in states/eV/cell: 9.844 9.385 9.327 4.013 7.065 9.882 10.414 11.807